[1]
Density functional theory data (PBE-GGA) for a relaxed structure of ScPdSe2N.

Output
* space group: P4/mmm, No. 123
* E above lowest polymorph: 0 meV per atom

Cell and atoms, written as CIF:
```
data_ScPdSe2N
_cell_length_a 5.1062
_cell_length_b 5.1062
_cell_length_c 3.7432
_cell_angle_alpha 90.00
_cell_angle_beta 90.00
_cell_angle_gamma 90.00
_space_group_name_H-M_alt 'P 1'
_space_group_IT_number 1
loop_
_space_group_symop_operation_xyz
'x,y,z'
loop_
_atom_site_label
_atom_site_fract_x
_atom_site_fract_y
_atom_site_fract_z
Sc1 0.5000 0.5000 0.5000
Se1 0.0000 0.5000 0.0000
Se2 0.5000 0.0000 0.0000
Pd1 0.0000 0.0000 0.0000
N1 0.0000 0.0000 0.5000
```


[2]
Density functional theory data (PBE-GGA) for a relaxed structure of SrSc2PdN.

Output
* space group: P4/mmm, No. 123

Cell and atoms, written as CIF:
```
data_SrSc2PdN
_cell_length_a 5.4171
_cell_length_b 4.1423
_cell_length_c 5.4171
_cell_angle_alpha 90.00
_cell_angle_beta 90.00
_cell_angle_gamma 90.00
_space_group_name_H-M_alt 'P 1'
_space_group_IT_number 1
loop_
_space_group_symop_operation_xyz
'x,y,z'
loop_
_atom_site_label
_atom_site_fract_x
_atom_site_fract_y
_atom_site_fract_z
Sc1 0.0000 0.0000 0.5000
Sc2 0.5000 0.0000 0.0000
Sr1 0.0000 0.0000 0.0000
Pd1 0.5000 0.5000 0.5000
N1 0.0000 0.5000 0.0000
```


Number 1: formation energy (no corrections) 0.102 eV per atom, D(E_F) 0.636 states/eV/atom, calculated volume 19.5 A^3/atom. Number 2: formation energy (no corrections) 1.412 eV per atom, D(E_F) 0.950 states/eV/atom, calculated volume 24.3 A^3/atom.